No. 1
Li2LaPt: relaxed, PBE.

abc: 4.134 4.134 10.783
angles: 78.95 78.95 90.00
Sites, in units of the cell vectors:
Li (0.043, 0.125, 0.250)
Li (0.707, 0.625, 0.250)
Li (0.375, 0.957, 0.750)
Li (0.875, 0.293, 0.750)
Pt (0.000, 0.000, 0.000)
Pt (0.750, 0.250, 0.500)
La (0.500, 0.500, 0.000)
La (0.250, 0.750, 0.500)

Output
Its space group is I-42d. As for the density of states at the Fermi level: 1.79 states/eV/f.u. The formation enthalpy at 0 K comes out at -0.468 eV/atom. As for the total energy: -4.167 eV/atom. The value obtained for the offset from the most stable computed form is 0.0845 eV/atom.



No. 2
Li2LaPt: relaxed, PBE.

abc: 3.595 3.595 6.952
angles: 90.00 90.00 90.00
Sites, in units of the cell vectors:
La (0.500, 0.500, 0.691)
Li (0.000, 0.000, 0.081)
Li (0.500, 0.500, 0.262)
Pt (0.000, 0.000, 0.466)

Output
Its space group is P4mm. As for the density of states at the Fermi level: 2.63 states/eV/f.u. The formation enthalpy at 0 K comes out at -0.463 eV/atom. As for the total energy: -4.162 eV/atom. The value obtained for the offset from the most stable computed form is 0.0895 eV/atom.



No. 3
Li3LaPt3: relaxed, PBE.

abc: 6.456 6.456 6.456
angles: 90.00 90.00 90.00
Sites, in units of the cell vectors:
Li (0.000, 0.250, 0.500)
Li (0.000, 0.750, 0.500)
Li (0.500, 0.000, 0.750)
Li (0.750, 0.500, 0.000)
Li (0.500, 0.000, 0.250)
Li (0.250, 0.500, 0.000)
Pt (0.250, 0.000, 0.500)
Pt (0.000, 0.500, 0.250)
Pt (0.500, 0.750, 0.000)
Pt (0.750, 0.000, 0.500)
Pt (0.000, 0.500, 0.750)
Pt (0.500, 0.250, 0.000)
La (0.500, 0.500, 0.500)
La (0.000, 0.000, 0.000)

Output
Its space group is Pm-3n. As for the density of states at the Fermi level: 4.01 states/eV/f.u. The formation enthalpy at 0 K comes out at -0.157 eV/atom. As for the total energy: -4.270 eV/atom.



No. 4
Li2LaPt: relaxed, PBE.

abc: 2.971 2.971 10.090
angles: 90.00 90.00 114.07
Sites, in units of the cell vectors:
La (0.500, 0.500, 0.750)
Li (0.000, 0.000, 0.059)
Li (0.000, 0.000, 0.441)
Pt (0.500, 0.500, 0.250)

Output
Its space group is Cmmm. As for the density of states at the Fermi level: 3.17 states/eV/f.u. The formation enthalpy at 0 K comes out at -0.033 eV/atom. As for the total energy: -3.732 eV/atom. The value obtained for the offset from the most stable computed form is 0.5196 eV/atom.